No. 1
The following is a PBE-GGA calculation of a relaxed structure of Cs3Ca2PaTe6, from Alexandria.

Structure (extended XYZ):
```
12
Lattice="4.024 -6.964 0.000 4.024 6.964 0.000 -2.671 0.000 8.877" Properties=species:S:1:pos:R:3 pbc="T T T"
Cs 0.000 0.000 0.000
Cs 4.024 2.408 0.000
Cs 4.024 -2.408 0.000
Ca 2.689 4.656 4.439
Ca 2.689 -4.656 4.439
Pa 2.689 0.000 4.439
Te 1.419 2.195 2.759
Te 0.165 0.000 6.145
Te 1.419 -2.195 2.759
Te 3.959 2.195 6.119
Te 5.213 0.000 2.732
Te 3.959 -2.195 6.119
```

Summary:
Symmetry: C2/m
Energy (Ry/atom): -0.3068
Uncorrected formation energy (meV/atom): -1265.4


No. 2
The following is a PBE-GGA calculation of a relaxed structure of AlPNF2, from Alexandria.

Structure (extended XYZ):
```
5
Lattice="4.564 0.000 0.000 0.000 4.564 0.000 0.000 0.000 3.272" Properties=species:S:1:pos:R:3 pbc="T T T"
Al 0.000 0.000 0.000
P 2.282 2.282 1.636
N 2.282 2.282 0.000
F 0.000 2.282 1.636
F 2.282 0.000 1.636
```

Summary:
Symmetry: P4/mmm
Energy (Ry/atom): -0.3450
Uncorrected formation energy (meV/atom): -449.2
Polymorph energy (0 for the lowest one) (meV per atom): 580


No. 3
The following is a PBE-GGA calculation of a relaxed structure of Sr5Pb3F, from Alexandria.

Structure (extended XYZ):
```
18
Lattice="-4.396 4.396 8.058 4.396 -4.396 8.058 4.396 4.396 -8.058" Properties=species:S:1:pos:R:3 pbc="T T T"
Sr 0.000 0.000 0.000
Sr 5.796 1.400 -2.448
Sr 1.400 2.995 -2.448
Sr 5.796 1.400 2.448
Sr 1.400 2.995 2.448
Sr 0.000 0.000 8.058
Sr 2.995 1.400 5.610
Sr -1.400 2.995 5.610
Sr 2.995 1.400 10.505
Sr -1.400 2.995 10.505
Pb 3.275 1.120 0.000
Pb 0.000 0.000 4.029
Pb 3.275 -1.120 8.058
Pb 1.120 5.516 0.000
Pb 0.000 0.000 12.087
Pb 1.120 3.275 8.058
F 4.396 0.000 4.029
F 0.000 4.396 4.029
```

Summary:
Symmetry: I4/mcm
Energy (Ry/atom): -0.2572
Uncorrected formation energy (meV/atom): -1120.6


No. 4
The following is a PBE-GGA calculation of a relaxed structure of Sm2BeZn, from Alexandria.

Structure (extended XYZ):
```
4
Lattice="1.689 0.975 10.689 -1.689 0.975 10.689 0.000 -1.951 10.689" Properties=species:S:1:pos:R:3 pbc="T T T"
Sm 0.000 0.000 2.982
Sm 0.000 0.000 29.087
Be 0.000 0.000 0.000
Zn 0.000 0.000 16.034
```

Summary:
Symmetry: R-3m
Formation energy from the elements (meV/atom): 636
Energy (Ry/atom): -0.2186
Polymorph energy (0 for the lowest one) (meV per atom): 717


No. 5
The following is a PBE-GGA calculation of a relaxed structure of ErTh3Pt12, from Alexandria.

Structure (extended XYZ):
```
16
Lattice="4.203 0.000 0.000 0.000 4.203 0.000 0.000 0.000 16.804" Properties=species:S:1:pos:R:3 pbc="T T T"
Er 0.000 0.000 0.000
Th 0.000 0.000 4.103
Th 0.000 0.000 8.402
Th 0.000 0.000 12.700
Pt 0.000 2.101 2.028
Pt 0.000 2.101 6.274
Pt 0.000 2.101 10.529
Pt 0.000 2.101 14.775
Pt 2.101 0.000 2.028
Pt 2.101 0.000 6.274
Pt 2.101 0.000 10.529
Pt 2.101 0.000 14.775
Pt 2.101 2.101 0.000
Pt 2.101 2.101 4.161
Pt 2.101 2.101 8.402
Pt 2.101 2.101 12.642
```

Summary:
Symmetry: P4/mmm
Formation energy from the elements (meV/atom): -1118
Energy (Ry/atom): -0.5383


No. 6
The following is a PBE-GGA calculation of a relaxed structure of Th2Ag4Se5, from Alexandria.

Structure (extended XYZ):
```
11
Lattice="2.140 1.235 18.166 -2.140 1.235 18.166 0.000 -2.471 18.166" Properties=species:S:1:pos:R:3 pbc="T T T"
Th 0.000 0.000 7.456
Th 0.000 0.000 47.042
Ag 0.000 0.000 17.000
Ag 0.000 0.000 22.571
Ag 0.000 0.000 31.927
Ag 0.000 0.000 37.498
Se 0.000 0.000 12.442
Se 0.000 0.000 20.015
Se 0.000 0.000 27.249
Se 0.000 0.000 34.484
Se 0.000 0.000 42.056
```

Summary:
Symmetry: R-3m
Energy (Ry/atom): -0.3393
Uncorrected formation energy (meV/atom): -646.7


No. 7
The following is a PBE-GGA calculation of a relaxed structure of Nd6Dy2Tm3Tl, from Alexandria.

Structure (extended XYZ):
```
12
Lattice="3.094 -5.371 0.000 3.094 5.371 0.000 -2.085 0.000 11.603" Properties=species:S:1:pos:R:3 pbc="T T T"
Nd -0.033 1.764 8.706
Nd 0.996 0.000 2.883
Nd -0.033 -1.764 8.706
Nd 4.135 1.764 2.897
Nd 3.107 0.000 8.720
Nd 4.135 -1.764 2.897
Dy 2.051 1.786 5.802
Dy 2.051 -1.786 5.802
Tm 3.094 3.573 0.000
Tm 3.094 0.000 0.000
Tm 3.094 -3.573 0.000
Tl -1.042 0.000 5.802
```

Summary:
Symmetry: C2/m
Formation energy from the elements (meV/atom): -10
Energy (Ry/atom): -0.3290


No. 8
The following is a PBE-GGA calculation of a relaxed structure of PO4, from Alexandria.

Structure (extended XYZ):
```
5
Lattice="3.411 0.000 0.000 0.000 3.411 0.000 0.000 0.000 3.411" Properties=species:S:1:pos:R:3 pbc="T T T"
P 0.000 0.000 0.000
O 0.000 0.000 1.705
O 0.000 1.705 0.000
O 1.705 0.000 0.000
O 1.705 1.705 1.705
```

Summary:
Symmetry: Pm-3m
Energy (Ry/atom): -0.3823
Uncorrected formation energy (meV/atom): -152.3
Polymorph energy (0 for the lowest one) (meV per atom): 626


Repeat the eighth record exactly.
The following is a PBE-GGA calculation of a relaxed structure of PO4, from Alexandria.

Structure (extended XYZ):
```
5
Lattice="3.411 0.000 0.000 0.000 3.411 0.000 0.000 0.000 3.411" Properties=species:S:1:pos:R:3 pbc="T T T"
P 0.000 0.000 0.000
O 0.000 0.000 1.705
O 0.000 1.705 0.000
O 1.705 0.000 0.000
O 1.705 1.705 1.705
```

Summary:
Symmetry: Pm-3m
Energy (Ry/atom): -0.3823
Uncorrected formation energy (meV/atom): -152.3
Polymorph energy (0 for the lowest one) (meV per atom): 626